No. 1
## MgCoO2 (PBE+U)

Data for an optimized crystal structure of MgCoO2.

Summary:
D(E_F) = 1.75 states/eV per cell
E_tot = -5.77 eV per atom

abc: 5.440 5.440 5.440
angles: 31.36 31.36 31.36
Atoms (fractional coordinates):
Mg 0.000 0.000 0.000
Co 0.830 0.830 0.830
O 0.411 0.411 0.411
O 0.585 0.585 0.585

No. 2
## Mg2CoOsO8 (PBE+U)

Data for an optimized crystal structure of Mg2CoOsO8.

Summary:
D(E_F) = 1.04 states/eV per cell
E_tot = -6.29 eV per atom

abc: 4.666 4.666 6.173
angles: 91.62 91.62 85.72
Atoms (fractional coordinates):
Mg 0.019 0.019 0.256
Mg 0.981 0.981 0.744
Co 0.500 0.500 0.500
Os 0.500 0.500 0.000
O 0.207 0.793 0.000
O 0.224 0.776 0.500
O 0.295 0.295 0.802
O 0.329 0.329 0.243
O 0.671 0.671 0.757
O 0.705 0.705 0.198
O 0.776 0.224 0.500
O 0.793 0.207 0.000

No. 3
## MgCo2OsO6 (PBE+U)

Data for an optimized crystal structure of MgCo2OsO6.

Summary:
D(E_F) = 0.52 states/eV per cell
E_tot = -6.55 eV per atom

abc: 5.517 5.517 5.517
angles: 54.89 54.89 54.89
Atoms (fractional coordinates):
Mg 0.000 0.000 0.000
Co 0.197 0.197 0.197
Co 0.718 0.718 0.718
Os 0.515 0.515 0.515
O 0.126 0.404 0.801
O 0.299 0.919 0.583
O 0.404 0.801 0.126
O 0.583 0.299 0.919
O 0.801 0.126 0.404
O 0.919 0.583 0.299

No. 4
## Mg2CoOsO6 (PBE+U)

Data for an optimized crystal structure of Mg2CoOsO6.

Summary:
D(E_F) = 0.67 states/eV per cell
E_tot = -6.52 eV per atom

abc: 5.406 5.406 5.406
angles: 56.30 56.30 56.30
Atoms (fractional coordinates):
Mg 0.000 0.000 0.000
Mg 0.500 0.500 0.500
Co 0.205 0.205 0.205
Os 0.705 0.705 0.705
O 0.083 0.428 0.823
O 0.321 0.928 0.585
O 0.428 0.823 0.083
O 0.585 0.321 0.928
O 0.823 0.083 0.428
O 0.928 0.585 0.321

Calculated values (μB/cell) of magnetic moment for the records, taken in order: 3.0; 3.0; 6.0; 3.0.